Density functional theory data (PBE) for a geometry-optimized Ca2EuPu structure.

The structure belongs to space group R-3m (No. 166, hexagonal axes); the cell edges are 3.7239, 3.7239 and 37.7892 Å and the angles 90.00°, 90.00° and 120.00°. The asymmetric unit holds Ca at (0.0000, 0.0000, 0.2467), Eu at (0.0000, 0.0000, 0.0000) and Pu at (0.0000, 0.0000, 0.5000).

Its size of the total moment is 42.187 Bohr magnetons per cell. For the final energy, the calculation gives -6.949 eV/atom. Its energy of formation is 0.8 eV per formula unit. The crystal system is trigonal. As for the mass density: 5226 kg/m³.

Density functional theory data (PBE) for a geometry-optimized YReSi structure.

The structure belongs to space group I4mm (No. 107); the cell edges are 3.285, 3.285 and 10.242 Å and the angles 90.00°, 90.00° and 90.00°. The asymmetric unit holds Y at (0.000, 0.000, 0.000), Re at (0.000, 0.000, 0.700) and Si at (0.000, 0.000, 0.295).

Its size of the total moment is 0.002 Bohr magnetons per cell. For the final energy, the calculation gives -8.403 eV/atom. The calculation puts the uncorrected formation energy at -0.2914 eV per atom. The crystal system is tetragonal. As for the mass density: 9109 kg/m³.

Density functional theory data (PBE) for a geometry-optimized ZnCdW structure.

The structure belongs to space group F-43m (No. 216); the cell edges are 6.315, 6.315 and 6.315 Å and the angles 90.00°, 90.00° and 90.00°. The asymmetric unit holds Zn at (0.000, 0.000, 0.000), Cd at (0.000, 0.000, 0.500) and W at (0.250, 0.250, 0.750).

Its size of the total moment is 4.361 Bohr magnetons per cell. For the final energy, the calculation gives -3.717 eV/atom. The calculation puts the energy above the most stable polymorph in this dataset at 0.946 eV/atom. Its energy of formation is 4.0 eV per formula unit. The crystal system is cubic. As for the mass density: 9540 kg/m³.

Density functional theory data (PBE) for a geometry-optimized AcPuTlZn structure.

The structure belongs to space group F-43m (No. 216); the cell edges are 7.793, 7.793 and 7.793 Å and the angles 90.00°, 90.00° and 90.00°. The asymmetric unit holds Ac at (0.000, 0.000, 0.000), Pu at (0.000, 0.000, 0.500), Tl at (0.250, 0.250, 0.250) and Zn at (0.250, 0.250, 0.750).

Its size of the total moment is 25.555 Bohr magnetons per cell. For the final energy, the calculation gives -5.615 eV/atom. Its energy of formation is -0.4 eV per formula unit. The crystal system is cubic. As for the mass density: 10396 kg/m³.

Density functional theory data (PBE) for a geometry-optimized Li2Ca2As structure.

The structure belongs to space group I4/mmm (No. 139); the cell edges are 3.757, 3.757 and 18.954 Å and the angles 90.00°, 90.00° and 90.00°. The asymmetric unit holds Li at (0.000, 0.500, 0.250), Ca at (0.000, 0.000, 0.084) and As at (0.000, 0.000, 0.500).

Its size of the total moment is 0.000 Bohr magnetons per cell. For the final energy, the calculation gives -2.863 eV/atom. Its energy of formation is -1.8 eV per formula unit. The crystal system is tetragonal. As for the mass density: 2097 kg/m³.

Density functional theory data (PBE) for a geometry-optimized MgTa2Be structure.

The structure belongs to space group P4/mmm (No. 123); the cell edges are 3.978, 3.978 and 4.103 Å and the angles 90.00°, 90.00° and 90.00°. The asymmetric unit holds Mg at (0.000, 0.000, 0.000), Ta at (0.000, 0.500, 0.500) and Be at (0.500, 0.500, 0.000).

Its size of the total moment is 0.000 Bohr magnetons per cell. For the final energy, the calculation gives -6.936 eV/atom. The calculation puts the energy above the most stable polymorph in this dataset at 0.190 eV/atom. Its energy of formation is 1.3 eV per formula unit. The crystal system is tetragonal. As for the mass density: 10104 kg/m³.

Density functional theory data (PBE) for a geometry-optimized Nd2Ga4PtAu3 structure.

The structure belongs to space group P-4m2 (No. 115); the cell edges are 4.422, 4.422 and 10.489 Å and the angles 90.00°, 90.00° and 90.00°. The asymmetric unit holds Nd at (0.000, 0.500, 0.247), Ga at (0.000, 0.000, 0.500), Ga at (0.000, 0.500, 0.875), Ga at (0.500, 0.500, 0.500), Pt at (0.500, 0.500, 0.000), Au at (0.000, 0.000, 0.000) and Au at (0.000, 0.500, 0.635).

Its size of the total moment is 0.000 Bohr magnetons per cell. For the final energy, the calculation gives -4.461 eV/atom. Its energy of formation is -7.1 eV per formula unit. The crystal system is tetragonal. As for the mass density: 10958 kg/m³.

Density functional theory data (PBE) for a geometry-optimized SmEr3Os structure.

The structure belongs to space group P2_1/c (No. 14); the cell edges are 7.174, 7.770 and 10.311 Å and the angles 90.00°, 98.22° and 90.00°. The asymmetric unit holds Sm at (0.211, 0.022, 0.239), Er at (0.092, 0.696, 0.028), Er at (0.304, 0.501, 0.354), Er at (0.399, 0.149, 0.572) and Os at (0.453, 0.715, 0.165).

Its size of the total moment is 0.000 Bohr magnetons per cell. For the final energy, the calculation gives -6.047 eV/atom. The calculation puts the energy above the most stable polymorph in this dataset at 0.000 eV/atom. Its energy of formation is -0.6 eV per formula unit. The crystal system is monoclinic. As for the mass density: 9835 kg/m³.